Entry 1:
The following is a DFT calculation (PBE-GGA) of crystalline PuThPt10 at its relaxed geometry.

```
data_PuThPt10
_cell_length_a 4.4485
_cell_length_b 5.4046
_cell_length_c 9.3260
_cell_angle_alpha 90.00
_cell_angle_beta 90.00
_cell_angle_gamma 90.00
_symmetry_space_group_name_H-M 'P 1'
_symmetry_Int_Tables_number 1
loop_
_symmetry_equiv_pos_as_xyz
'x,y,z'
loop_
_atom_site_label
_atom_site_fract_x
_atom_site_fract_y
_atom_site_fract_z
_atom_site_occupancy
Pu1 0.0000 0.0000 0.0000 1
Th1 0.0000 0.5000 0.5000 1
Pt1 0.0000 0.0000 0.3322 1
Pt2 0.0000 0.0000 0.6678 1
Pt3 0.0000 0.5000 0.1659 1
Pt4 0.0000 0.5000 0.8341 1
Pt5 0.5000 0.0000 0.5000 1
Pt6 0.5000 0.2514 0.2516 1
Pt7 0.5000 0.2514 0.7484 1
Pt8 0.5000 0.5000 0.0000 1
Pt9 0.5000 0.7486 0.2516 1
Pt10 0.5000 0.7486 0.7484 1
```

DOS(E_F): 20.90 states/eV per cell
calculated formation energy: -670.6 meV per atom
space group: Pmmm (47)


Entry 2:
The following is a DFT calculation (PBE-GGA) of crystalline Tb3Sm6Er2 at its relaxed geometry.

```
data_Tb3Sm6Er2
_cell_length_a 17.0502
_cell_length_b 17.0502
_cell_length_c 17.0502
_cell_angle_alpha 163.94
_cell_angle_beta 163.94
_cell_angle_gamma 22.78
_symmetry_space_group_name_H-M 'P 1'
_symmetry_Int_Tables_number 1
loop_
_symmetry_equiv_pos_as_xyz
'x,y,z'
loop_
_atom_site_label
_atom_site_fract_x
_atom_site_fract_y
_atom_site_fract_z
_atom_site_occupancy
Tb1 0.0000 0.0000 0.0000 1
Tb2 0.1988 0.1988 0.0000 1
Tb3 0.8012 0.8012 0.0000 1
Sm1 0.1201 0.6201 0.5000 1
Sm2 0.3015 0.3015 0.0000 1
Sm3 0.3799 0.8799 0.5000 1
Sm4 0.6201 0.1201 0.5000 1
Sm5 0.6985 0.6985 0.0000 1
Sm6 0.8799 0.3799 0.5000 1
Er1 0.4546 0.4546 0.0000 1
Er2 0.5454 0.5454 0.0000 1
```

distance to the lowest polymorph of the same formula: 3.031 eV/f.u.
DOS(E_F): 16.32 states/eV per cell
calculated formation energy: 290.3 meV per atom
space group: I4/mmm (139)


Entry 3:
The following is a DFT calculation (PBE-GGA) of crystalline PbN2F at its relaxed geometry.

```
data_PbN2F
_cell_length_a 6.0591
_cell_length_b 6.0591
_cell_length_c 6.0591
_cell_angle_alpha 34.81
_cell_angle_beta 34.81
_cell_angle_gamma 34.81
_symmetry_space_group_name_H-M 'P 1'
_symmetry_Int_Tables_number 1
loop_
_symmetry_equiv_pos_as_xyz
'x,y,z'
loop_
_atom_site_label
_atom_site_fract_x
_atom_site_fract_y
_atom_site_fract_z
_atom_site_occupancy
Pb1 0.0000 0.0000 0.0000 1
N1 0.3951 0.3951 0.3951 1
N2 0.6049 0.6049 0.6049 1
F1 0.5000 0.5000 0.5000 1
```

uncorrected formation energy: 4.58 eV per formula unit
distance to the lowest polymorph of the same formula: 0.000 eV/f.u.
DOS(E_F): 0.95 states/eV per cell
space group: R-3m (166)


Entry 4:
The following is a DFT calculation (PBE-GGA) of crystalline CaMgCd4 at its relaxed geometry.

```
data_CaMgCd4
_cell_length_a 5.0436
_cell_length_b 5.0436
_cell_length_c 6.7894
_cell_angle_alpha 94.93
_cell_angle_beta 94.93
_cell_angle_gamma 58.29
_symmetry_space_group_name_H-M 'P 1'
_symmetry_Int_Tables_number 1
loop_
_symmetry_equiv_pos_as_xyz
'x,y,z'
loop_
_atom_site_label
_atom_site_fract_x
_atom_site_fract_y
_atom_site_fract_z
_atom_site_occupancy
Ca1 0.0000 0.0000 0.0000 1
Mg1 0.9987 0.0013 0.5000 1
Cd1 0.3165 0.3165 0.7350 1
Cd2 0.3552 0.3555 0.2613 1
Cd3 0.6445 0.6448 0.7387 1
Cd4 0.6835 0.6835 0.2650 1
```

distance to the lowest polymorph of the same formula: 0.000 eV/f.u.
DOS(E_F): 2.33 states/eV per cell
calculated formation energy: -212.7 meV per atom
space group: C2 (5)


Entry 5:
The following is a DFT calculation (PBE-GGA) of crystalline Na3Ce2FeS6 at its relaxed geometry.

```
data_Na3Ce2FeS6
_cell_length_a 6.8363
_cell_length_b 6.8363
_cell_length_c 7.0410
_cell_angle_alpha 99.30
_cell_angle_beta 99.30
_cell_angle_gamma 120.04
_symmetry_space_group_name_H-M 'P 1'
_symmetry_Int_Tables_number 1
loop_
_symmetry_equiv_pos_as_xyz
'x,y,z'
loop_
_atom_site_label
_atom_site_fract_x
_atom_site_fract_y
_atom_site_fract_z
_atom_site_occupancy
Na1 0.0000 0.0000 0.0000 1
Na2 0.3339 0.6661 0.0000 1
Na3 0.6661 0.3339 0.0000 1
Ce1 0.1669 0.8331 0.5000 1
Ce2 0.8331 0.1669 0.5000 1
Fe1 0.5000 0.5000 0.5000 1
S1 0.1082 0.4251 0.2755 1
S2 0.2587 0.2587 0.7213 1
S3 0.4251 0.1082 0.2755 1
S4 0.5749 0.8918 0.7245 1
S5 0.7413 0.7413 0.2787 1
S6 0.8918 0.5749 0.7245 1
```

uncorrected formation energy: -16.18 eV per formula unit
DOS(E_F): 13.17 states/eV per cell
space group: C2/m (12)


Entry 6:
The following is a DFT calculation (PBE-GGA) of crystalline LaZn2Au at its relaxed geometry.

```
data_LaZn2Au
_cell_length_a 4.5171
_cell_length_b 4.5171
_cell_length_c 5.6448
_cell_angle_alpha 113.62
_cell_angle_beta 113.62
_cell_angle_gamma 60.06
_symmetry_space_group_name_H-M 'P 1'
_symmetry_Int_Tables_number 1
loop_
_symmetry_equiv_pos_as_xyz
'x,y,z'
loop_
_atom_site_label
_atom_site_fract_x
_atom_site_fract_y
_atom_site_fract_z
_atom_site_occupancy
La1 0.0000 0.0000 0.0000 1
Zn1 0.2114 0.2114 0.6344 1
Zn2 0.5105 0.5105 0.5317 1
Au1 0.7891 0.7891 0.3673 1
```

DOS(E_F): 3.73 states/eV per cell
calculated formation energy: -449.7 meV per atom
space group: Cm (8)


Entry 7:
The following is a DFT calculation (PBE-GGA) of crystalline NaAcSn2S4 at its relaxed geometry.

```
data_NaAcSn2S4
_cell_length_a 7.1393
_cell_length_b 4.2505
_cell_length_c 7.3695
_cell_angle_alpha 90.00
_cell_angle_beta 108.78
_cell_angle_gamma 90.00
_symmetry_space_group_name_H-M 'P 1'
_symmetry_Int_Tables_number 1
loop_
_symmetry_equiv_pos_as_xyz
'x,y,z'
loop_
_atom_site_label
_atom_site_fract_x
_atom_site_fract_y
_atom_site_fract_z
_atom_site_occupancy
Na1 0.0000 0.0000 0.0000 1
Ac1 0.5000 0.5000 0.0000 1
Sn1 0.0000 0.5000 0.5000 1
Sn2 0.5000 0.0000 0.5000 1
S1 0.2508 0.0000 0.7510 1
S2 0.2557 0.5000 0.2549 1
S3 0.7443 0.5000 0.7451 1
S4 0.7492 0.0000 0.2490 1
```

uncorrected formation energy: -8.53 eV per formula unit
space group: P2/m (10)


Entry 8:
The following is a DFT calculation (PBE-GGA) of crystalline Tl2ReTc at its relaxed geometry.

```
data_Tl2ReTc
_cell_length_a 3.3285
_cell_length_b 3.3285
_cell_length_c 6.6718
_cell_angle_alpha 90.00
_cell_angle_beta 90.00
_cell_angle_gamma 90.00
_symmetry_space_group_name_H-M 'P 1'
_symmetry_Int_Tables_number 1
loop_
_symmetry_equiv_pos_as_xyz
'x,y,z'
loop_
_atom_site_label
_atom_site_fract_x
_atom_site_fract_y
_atom_site_fract_z
_atom_site_occupancy
Tl1 0.0000 0.0000 0.2487 1
Tl2 0.0000 0.0000 0.7513 1
Re1 0.5000 0.5000 0.5000 1
Tc1 0.5000 0.5000 0.0000 1
```

distance to the lowest polymorph of the same formula: 2.980 eV/f.u.
DOS(E_F): 3.73 states/eV per cell
calculated formation energy: 1155.7 meV per atom
space group: P4/mmm (123)


Entry 9:
The following is a DFT calculation (PBE-GGA) of crystalline YInSe3 at its relaxed geometry.

```
data_YInSe3
_cell_length_a 7.5943
_cell_length_b 7.5943
_cell_length_c 7.5943
_cell_angle_alpha 56.11
_cell_angle_beta 56.11
_cell_angle_gamma 56.11
_symmetry_space_group_name_H-M 'P 1'
_symmetry_Int_Tables_number 1
loop_
_symmetry_equiv_pos_as_xyz
'x,y,z'
loop_
_atom_site_label
_atom_site_fract_x
_atom_site_fract_y
_atom_site_fract_z
_atom_site_occupancy
Y1 0.0000 0.0000 0.0000 1
Y2 0.5000 0.5000 0.5000 1
In1 0.2058 0.2058 0.2058 1
In2 0.7058 0.7058 0.7058 1
Se1 0.0902 0.8062 0.4065 1
Se2 0.3062 0.5902 0.9065 1
Se3 0.4065 0.0902 0.8062 1
Se4 0.5902 0.9065 0.3062 1
Se5 0.8062 0.4065 0.0902 1
Se6 0.9065 0.3062 0.5902 1
```

uncorrected formation energy: -5.68 eV per formula unit
distance to the lowest polymorph of the same formula: 0.284 eV/f.u.
DOS(E_F): 0.00 states/eV per cell
space group: R3c (161)


Entry 10:
The following is a DFT calculation (PBE-GGA) of crystalline BiSb2TeC at its relaxed geometry.

```
data_BiSb2TeC
_cell_length_a 4.9054
_cell_length_b 4.9054
_cell_length_c 4.9061
_cell_angle_alpha 90.00
_cell_angle_beta 90.00
_cell_angle_gamma 90.00
_symmetry_space_group_name_H-M 'P 1'
_symmetry_Int_Tables_number 1
loop_
_symmetry_equiv_pos_as_xyz
'x,y,z'
loop_
_atom_site_label
_atom_site_fract_x
_atom_site_fract_y
_atom_site_fract_z
_atom_site_occupancy
Bi1 0.0000 0.0000 0.0000 1
Sb1 0.0000 0.5000 0.5000 1
Sb2 0.5000 0.0000 0.5000 1
Te1 0.5000 0.5000 0.0000 1
C1 0.5000 0.5000 0.5000 1
```

uncorrected formation energy: 4.38 eV per formula unit
distance to the lowest polymorph of the same formula: 0.000 eV/f.u.
DOS(E_F): 4.05 states/eV per cell
space group: P4/mmm (123)


Entry 11:
The following is a DFT calculation (PBE-GGA) of crystalline Pr4CSeCl2 at its relaxed geometry.

```
data_Pr4CSeCl2
_cell_length_a 7.3035
_cell_length_b 3.9728
_cell_length_c 7.3046
_cell_angle_alpha 90.00
_cell_angle_beta 108.13
_cell_angle_gamma 90.00
_symmetry_space_group_name_H-M 'P 1'
_symmetry_Int_Tables_number 1
loop_
_symmetry_equiv_pos_as_xyz
'x,y,z'
loop_
_atom_site_label
_atom_site_fract_x
_atom_site_fract_y
_atom_site_fract_z
_atom_site_occupancy
Pr1 0.2031 0.0000 0.2031 1
Pr2 0.2140 0.5000 0.7848 1
Pr3 0.7860 0.5000 0.2152 1
Pr4 0.7969 0.0000 0.7969 1
C1 0.0000 0.5000 0.0000 1
Se1 0.0000 0.0000 0.5000 1
Cl1 0.5000 0.0000 0.0000 1
Cl2 0.5000 0.5000 0.5000 1
```

uncorrected formation energy: -10.57 eV per formula unit
DOS(E_F): 1.74 states/eV per cell
space group: P2/m (10)


Entry 12:
The following is a DFT calculation (PBE-GGA) of crystalline MnTcHg2Os at its relaxed geometry.

```
data_MnTcHg2Os
_cell_length_a 5.1740
_cell_length_b 5.1740
_cell_length_c 4.3423
_cell_angle_alpha 90.00
_cell_angle_beta 90.00
_cell_angle_gamma 90.00
_symmetry_space_group_name_H-M 'P 1'
_symmetry_Int_Tables_number 1
loop_
_symmetry_equiv_pos_as_xyz
'x,y,z'
loop_
_atom_site_label
_atom_site_fract_x
_atom_site_fract_y
_atom_site_fract_z
_atom_site_occupancy
Mn1 0.0000 0.0000 0.0000 1
Tc1 0.0000 0.0000 0.5000 1
Hg1 0.0000 0.5000 0.5000 1
Hg2 0.5000 0.0000 0.5000 1
Os1 0.5000 0.5000 0.0000 1
```

DOS(E_F): 6.47 states/eV per cell
calculated formation energy: 1975.3 meV per atom
space group: P4/mmm (123)